# 1
Compound: Pm4Nd3Ru4
Source: Alexandria
Functional: PBE-GGA
Structure: optimized geometry

Structure (extended XYZ):
```
11
Lattice="3.695 0.000 0.000 0.000 9.136 0.000 -1.847 -4.568 8.270" Properties=species:S:1:pos:R:3 pbc="T T T"
Ru 1.847 2.106 0.000
Pm 1.847 2.834 2.734
Pm 1.847 6.302 2.734
Pm 0.000 -1.734 5.537
Nd 0.000 0.000 1.619
Ru 1.847 0.000 4.030
Pm 0.000 1.734 5.537
Nd 1.847 4.568 6.652
Nd 0.000 4.568 0.000
Ru 1.847 7.031 0.000
Ru 0.000 4.568 4.241
```

Energy of formation in meV per atom: -130
V in Å³/f.u.: 279.2



# 2
Compound: Pm3NdRu
Source: Alexandria
Functional: PBE-GGA
Structure: optimized geometry

Structure (extended XYZ):
```
10
Lattice="0.788 2.471 -7.000 -5.422 -5.129 0.154 -1.869 5.546 4.618" Properties=species:S:1:pos:R:3 pbc="T T T"
Pm -0.158 3.465 -4.544
Pm -2.799 -0.069 -0.281
Nd -1.135 5.688 -1.441
Pm -4.331 2.593 1.924
Ru -4.273 -0.198 -2.539
Pm -2.171 0.294 -4.152
Nd -5.367 -2.800 -0.787
Pm -3.703 2.957 -1.947
Pm -6.344 -0.577 2.315
Ru -2.229 3.086 0.311
```

Energy of formation in meV per atom: -156
Energy above the lowest structure with this stoichiometry in meV per atom: 0
V in Å³/f.u.: 159.7



# 3
Compound: PmNd8Ru2
Source: Alexandria
Functional: PBE-GGA
Structure: optimized geometry

Structure (extended XYZ):
```
11
Lattice="7.340 -0.856 -0.650 -1.544 7.512 0.334 -1.544 2.345 7.145" Properties=species:S:1:pos:R:3 pbc="T T T"
Nd 4.731 0.606 0.460
Nd 0.388 3.108 2.358
Nd 3.929 2.175 3.750
Nd 3.864 5.893 4.471
Nd 3.929 4.197 1.085
Pm 0.000 0.000 0.000
Nd 0.324 6.826 3.079
Nd 0.324 4.804 5.745
Nd -0.479 8.395 6.370
Ru 2.351 1.583 1.201
Ru 1.901 7.418 5.628
```

Energy of formation in meV per atom: 18
V in Å³/f.u.: 374.0



# 4
Compound: Pm2Nd2Ru
Source: Alexandria
Functional: PBE-GGA
Structure: optimized geometry

Structure (extended XYZ):
```
10
Lattice="7.538 0.000 0.602 3.769 6.095 0.301 3.912 0.000 7.134" Properties=species:S:1:pos:R:3 pbc="T T T"
Pm 6.276 3.344 2.187
Pm 5.174 3.344 5.549
Ru 3.769 4.544 0.301
Ru 7.538 1.551 0.602
Nd 3.677 0.000 4.350
Nd 7.774 0.000 3.386
Nd 6.185 0.000 6.679
Pm 8.943 2.751 5.850
Nd 5.266 0.000 1.057
Pm 10.046 2.751 2.488
```

Energy of formation in meV per atom: -107
V in Å³/f.u.: 156.7



# 5
Compound: PmNdRu
Source: Alexandria
Functional: PBE-GGA
Structure: optimized geometry

Structure (extended XYZ):
```
3
Lattice="3.490 0.000 0.000 0.000 3.490 0.000 -1.745 -1.745 6.824" Properties=species:S:1:pos:R:3 pbc="T T T"
Nd 0.000 0.000 0.567
Ru 1.745 1.745 2.288
Pm 0.000 0.000 3.969
```

Energy of formation in meV per atom: -167
Energy above the lowest structure with this stoichiometry in meV per atom: 0
V in Å³/f.u.: 83.1



# 6
Compound: Pm3NdRu
Source: Alexandria
Functional: PBE-GGA
Structure: optimized geometry

Structure (extended XYZ):
```
5
Lattice="5.522 0.000 0.000 0.000 5.522 0.000 0.000 0.000 5.522" Properties=species:S:1:pos:R:3 pbc="T T T"
Pm 2.761 0.000 0.000
Pm 0.000 0.000 2.761
Ru 0.000 0.000 0.000
Nd 2.761 2.761 2.761
Pm 0.000 2.761 0.000
```

Energy of formation in meV per atom: 9
Energy above the lowest structure with this stoichiometry in meV per atom: 165
V in Å³/f.u.: 168.4



Question: The lowest energy of formation belongs to which entry?
Answer: PmNdRu



Question: What is the formula in the sixth record?
Answer: Pm3NdRu